Record 1
This record from the Alexandria database describes CsAsH6 after structural relaxation. The functional is GGA-PBE. Values from VASP.

Geometry as Quantum ESPRESSO input:
```
&SYSTEM
  ibrav = 0, nat = 8, ntyp = 3
/
ATOMIC_SPECIES
Cs 132.91 Cs.upf
As 74.92 As.upf
H 1.01 H.upf
ATOMIC_POSITIONS crystal
Cs 0.500 0.500 0.500
As 0.000 0.000 0.000
H 0.928 0.928 0.785
H 0.359 0.928 0.785
H 0.072 0.641 0.215
H 0.641 0.072 0.215
H 0.072 0.072 0.215
H 0.928 0.359 0.785
CELL_PARAMETERS angstrom
5.380 0.000 0.000
2.690 4.659 0.000
2.690 1.553 4.334
```

---

Record 2
This record from the Alexandria database describes K2MoPtPb after structural relaxation. The functional is GGA-PBE. Values from VASP.

Geometry as Quantum ESPRESSO input:
```
&SYSTEM
  ibrav = 0, nat = 5, ntyp = 4
/
ATOMIC_SPECIES
Pb 207.20 Pb.upf
Mo 95.94 Mo.upf
K 39.10 K.upf
Pt 195.08 Pt.upf
ATOMIC_POSITIONS crystal
Pb 0.500 0.500 0.500
Mo 0.000 0.500 0.000
K 0.000 0.000 0.500
K 0.500 0.000 0.000
Pt 0.000 0.000 0.000
CELL_PARAMETERS angstrom
-3.271 5.156 -0.396
-0.555 0.018 4.813
5.123 3.295 0.579
```

Values from the calculation:
DFT formation energy   0.814 eV per atom

---

Record 3
This record from the Alexandria database describes TbErPb2 after structural relaxation. The functional is GGA-PBE. Values from VASP.

Geometry as Quantum ESPRESSO input:
```
&SYSTEM
  ibrav = 0, nat = 4, ntyp = 3
/
ATOMIC_SPECIES
Pb 207.20 Pb.upf
Tb 158.93 Tb.upf
Er 167.26 Er.upf
ATOMIC_POSITIONS crystal
Pb 0.749 0.749 0.752
Pb 0.251 0.251 0.248
Tb 0.500 0.500 0.500
Er 0.000 0.000 0.000
CELL_PARAMETERS angstrom
3.849 0.000 0.000
1.924 3.333 0.000
1.924 1.111 9.285
```

Values from the calculation:
DFT formation energy   -0.345 eV per atom

---

Record 4
This record from the Alexandria database describes Pm8NdTh2 after structural relaxation. The functional is GGA-PBE. Values from VASP.

Geometry as Quantum ESPRESSO input:
```
&SYSTEM
  ibrav = 0, nat = 11, ntyp = 3
/
ATOMIC_SPECIES
Pm 145.00 Pm.upf
Nd 144.24 Nd.upf
Th 232.04 Th.upf
ATOMIC_POSITIONS crystal
Pm 0.157 0.337 0.237
Pm 0.920 0.101 0.763
Pm 0.716 0.423 0.000
Pm 0.707 0.207 0.413
Pm 0.293 0.793 0.587
Pm 0.284 0.577 0.000
Pm 0.080 0.899 0.237
Pm 0.843 0.663 0.763
Nd 0.500 0.000 0.000
Th 0.692 0.692 0.384
Th 0.308 0.308 0.616
CELL_PARAMETERS angstrom
5.959 0.366 -1.098
-1.997 6.559 -3.364
-0.906 0.542 9.398
```

Values from the calculation:
DFT formation energy   0.192 eV per atom

---

Record 5
This record from the Alexandria database describes Cu2AsPt after structural relaxation. The functional is GGA-PBE. Values from VASP.

Geometry as Quantum ESPRESSO input:
```
&SYSTEM
  ibrav = 0, nat = 4, ntyp = 3
/
ATOMIC_SPECIES
As 74.92 As.upf
Cu 63.55 Cu.upf
Pt 195.08 Pt.upf
ATOMIC_POSITIONS crystal
As 0.000 0.500 0.500
Cu 0.000 0.000 0.000
Cu 0.500 0.500 0.000
Pt 0.500 0.000 0.500
CELL_PARAMETERS angstrom
4.596 0.039 -0.041
-1.680 4.278 -0.041
0.025 0.037 2.900
```

Values from the calculation:
DFT formation energy   -0.034 eV per atom

---

Record 6
This record from the Alexandria database describes Na2AgSb3Au4 after structural relaxation. The functional is GGA-PBE. Values from VASP.

Geometry as Quantum ESPRESSO input:
```
&SYSTEM
  ibrav = 0, nat = 10, ntyp = 4
/
ATOMIC_SPECIES
Na 22.99 Na.upf
Ag 107.87 Ag.upf
Sb 121.76 Sb.upf
Au 196.97 Au.upf
ATOMIC_POSITIONS crystal
Na 0.500 0.000 0.248
Na 0.000 0.500 0.752
Ag 0.500 0.500 0.500
Sb 0.000 0.000 0.500
Sb 0.500 0.000 0.866
Sb 0.000 0.500 0.134
Au 0.500 0.500 0.000
Au 0.000 0.000 0.000
Au 0.500 0.000 0.634
Au 0.000 0.500 0.366
CELL_PARAMETERS angstrom
-2.313 4.009 -0.588
-2.728 -2.042 -3.186
-7.356 -3.035 8.244
```

---

Calculated values (eV/atom) of energy for the records, taken in order: -3.014, -3.741, -4.497, -5.045, -4.755, -3.292.